No. 1
Compound: K2MgFe
Source: Alexandria via LeMat-Bulk
Functional: PBE
Structure: relaxed

Structure (POSCAR):
```
K2MgFe
1.0
10.4655 -1.7576 0.0000
10.4655 1.7576 0.0000
-0.8350 0.0000 4.1069
K Mg Fe
2 1 1
direct
0.1493 0.1493 0.1486
0.8507 0.8507 0.8514
0.0000 0.0000 0.5000
0.5000 0.5000 0.0000
```

Properties
**VASP energy**: -2.46 eV per atom

=====

No. 2
Compound: AcDyIrO6
Source: Alexandria via LeMat-Bulk
Functional: PBE
Structure: relaxed

Structure (POSCAR):
```
AcDyIrO6
1.0
5.5623 0.0000 0.0000
-2.7811 4.8171 0.0000
0.0000 0.0000 5.3023
Ac Dy Ir O
1 1 1 6
direct
0.0000 0.0000 0.0000
0.3333 0.6667 0.5000
0.6667 0.3333 0.5000
0.3814 0.0395 0.7119
0.3814 0.3419 0.2881
0.6581 0.0395 0.2881
0.6581 0.6186 0.7119
0.9605 0.3419 0.7119
0.9605 0.6186 0.2881
```

Properties
**Energy relative to the elements, uncorrected**: -19.96 eV per formula unit